{
  "formula": "La2AlGa3Cu12",
  "functional": "GGA-PBE",
  "state": "optimized geometry",
  "rho_g_cm3": 6.14,
  "crystal_system": "trigonal",
  "vol_a3_per_atom": 19.2,
  "lattice": [[4.014, 2.317, 6.181], [-4.014, 2.317, 6.181], [0.000, -4.635, 6.181]],
  "species": ["La", "La", "Al", "Ga", "Ga", "Ga", "Cu", "Cu", "Cu", "Cu", "Cu", "Cu", "Cu", "Cu", "Cu", "Cu", "Cu", "Cu"],
  "frac_coords": [[0.100, 0.100, 0.100], [0.900, 0.900, 0.900], [0.500, 0.500, 0.500], [0.000, 0.500, 0.500], [0.500, 0.000, 0.500], [0.500, 0.500, 0.000], [0.145, 0.634, 0.634], [0.149, 0.149, 0.480], [0.149, 0.480, 0.149], [0.366, 0.366, 0.855], [0.366, 0.855, 0.366], [0.480, 0.149, 0.149], [0.520, 0.851, 0.851], [0.634, 0.145, 0.634], [0.634, 0.634, 0.145], [0.851, 0.520, 0.851], [0.851, 0.851, 0.520], [0.855, 0.366, 0.366]]
}

{
  "formula": "La2Al3GaCu4",
  "functional": "GGA-PBE",
  "state": "optimized geometry",
  "rho_g_cm3": 6.00,
  "crystal_system": "tetragonal",
  "vol_a3_per_atom": 18.9,
  "lattice": [[4.316, 0.000, 0.000], [0.000, 4.316, 0.000], [0.000, 0.000, 10.139]],
  "species": ["La", "La", "Al", "Al", "Al", "Ga", "Cu", "Cu", "Cu", "Cu"],
  "frac_coords": [[0.000, 0.500, 0.246], [0.500, 0.000, 0.754], [0.000, 0.500, 0.875], [0.500, 0.000, 0.125], [0.500, 0.500, 0.500], [0.000, 0.000, 0.500], [0.000, 0.000, 0.000], [0.000, 0.500, 0.630], [0.500, 0.000, 0.370], [0.500, 0.500, 0.000]]
}

{
  "formula": "La2Al4GaCu3",
  "functional": "GGA-PBE",
  "state": "optimized geometry",
  "rho_g_cm3": 5.57,
  "crystal_system": "tetragonal",
  "vol_a3_per_atom": 19.3,
  "lattice": [[4.320, 0.000, 0.000], [0.000, 4.320, 0.000], [0.000, 0.000, 10.324]],
  "species": ["La", "La", "Al", "Al", "Al", "Al", "Ga", "Cu", "Cu", "Cu"],
  "frac_coords": [[0.000, 0.500, 0.249], [0.500, 0.000, 0.751], [0.000, 0.000, 0.500], [0.000, 0.500, 0.864], [0.500, 0.000, 0.136], [0.500, 0.500, 0.500], [0.500, 0.500, 0.000], [0.000, 0.000, 0.000], [0.000, 0.500, 0.625], [0.500, 0.000, 0.375]]
}

{
  "formula": "LaAl2Ga4Cu",
  "functional": "GGA-PBE",
  "state": "optimized geometry",
  "rho_g_cm3": 5.79,
  "crystal_system": "trigonal",
  "vol_a3_per_atom": 19.2,
  "lattice": [[2.274, 1.313, 8.570], [-2.274, 1.313, 8.570], [0.000, -2.625, 8.570]],
  "species": ["La", "Al", "Al", "Ga", "Ga", "Ga", "Ga", "Cu"],
  "frac_coords": [[0.000, 0.000, 0.000], [0.242, 0.242, 0.242], [0.758, 0.758, 0.758], [0.134, 0.134, 0.134], [0.402, 0.402, 0.402], [0.598, 0.598, 0.598], [0.866, 0.866, 0.866], [0.500, 0.500, 0.500]]
}

{
  "formula": "LiAlGaCu",
  "functional": "GGA-PBE",
  "state": "optimized geometry",
  "rho_g_cm3": 4.99,
  "crystal_system": "cubic",
  "vol_a3_per_atom": 13.9,
  "lattice": [[0.000, 3.031, 3.031], [3.031, 0.000, 3.031], [3.031, 3.031, 0.000]],
  "species": ["Li", "Al", "Ga", "Cu"],
  "frac_coords": [[0.000, 0.000, 0.000], [0.250, 0.250, 0.250], [0.750, 0.750, 0.750], [0.500, 0.500, 0.500]]
}

{
  "formula": "Mg2AlGaCu6",
  "functional": "GGA-PBE",
  "state": "optimized geometry",
  "rho_g_cm3": 5.94,
  "crystal_system": "triclinic",
  "vol_a3_per_atom": 14.7,
  "lattice": [[4.210, 0.000, 0.000], [2.085, 5.932, 0.000], [2.097, 1.959, 5.892]],
  "species": ["Mg", "Mg", "Al", "Ga", "Cu", "Cu", "Cu", "Cu", "Cu", "Cu"],
  "frac_coords": [[0.173, 0.004, 0.151], [0.827, 0.996, 0.849], [0.500, 0.000, 0.500], [0.000, 0.500, 0.000], [0.099, 0.740, 0.560], [0.253, 0.300, 0.694], [0.391, 0.475, 0.244], [0.609, 0.525, 0.756], [0.747, 0.700, 0.306], [0.901, 0.260, 0.440]]
}

{
  "formula": "Mg3AlGa2Cu9",
  "functional": "GGA-PBE",
  "state": "optimized geometry",
  "rho_g_cm3": 4.83,
  "crystal_system": "trigonal",
  "vol_a3_per_atom": 18.6,
  "lattice": [[6.097, 0.000, 0.000], [-3.048, 5.280, 0.000], [0.000, 0.000, 8.664]],
  "species": ["Mg", "Mg", "Mg", "Al", "Ga", "Ga", "Cu", "Cu", "Cu", "Cu", "Cu", "Cu", "Cu", "Cu", "Cu"],
  "frac_coords": [[0.000, 0.000, 0.000], [0.333, 0.667, 0.739], [0.667, 0.333, 0.261], [0.000, 0.000, 0.500], [0.333, 0.667, 0.187], [0.667, 0.333, 0.813], [0.000, 0.500, 0.000], [0.131, 0.261, 0.269], [0.131, 0.869, 0.269], [0.261, 0.131, 0.731], [0.500, 0.000, 0.000], [0.500, 0.500, 0.000], [0.739, 0.869, 0.269], [0.869, 0.131, 0.731], [0.869, 0.739, 0.731]]
}

{
  "formula": "Mg2AlGa2Cu5",
  "functional": "GGA-PBE",
  "state": "optimized geometry",
  "rho_g_cm3": 5.86,
  "crystal_system": "tetragonal",
  "vol_a3_per_atom": 15.1,
  "lattice": [[9.248, 0.000, 0.000], [0.000, 9.248, 0.000], [0.000, 0.000, 3.533]],
  "species": ["Mg", "Mg", "Mg", "Mg", "Al", "Al", "Ga", "Ga", "Ga", "Ga", "Cu", "Cu", "Cu", "Cu", "Cu", "Cu", "Cu", "Cu", "Cu", "Cu"],
  "frac_coords": [[0.172, 0.328, 0.000], [0.328, 0.828, 0.000], [0.672, 0.172, 0.000], [0.828, 0.672, 0.000], [0.000, 0.000, 0.000], [0.500, 0.500, 0.000], [0.128, 0.628, 0.000], [0.372, 0.128, 0.000], [0.628, 0.872, 0.000], [0.872, 0.372, 0.000], [0.000, 0.500, 0.500], [0.058, 0.806, 0.500], [0.194, 0.058, 0.500], [0.306, 0.558, 0.500], [0.442, 0.306, 0.500], [0.500, 0.000, 0.500], [0.558, 0.694, 0.500], [0.694, 0.442, 0.500], [0.806, 0.942, 0.500], [0.942, 0.194, 0.500]]
}

{
  "formula": "Mg2Al2GaCu5",
  "functional": "GGA-PBE",
  "state": "optimized geometry",
  "rho_g_cm3": 5.30,
  "crystal_system": "tetragonal",
  "vol_a3_per_atom": 15.3,
  "lattice": [[9.600, 0.000, 0.000], [0.000, 9.600, 0.000], [0.000, 0.000, 3.330]],
  "species": ["Mg", "Mg", "Mg", "Mg", "Al", "Al", "Al", "Al", "Ga", "Ga", "Cu", "Cu", "Cu", "Cu", "Cu", "Cu", "Cu", "Cu", "Cu", "Cu"],
  "frac_coords": [[0.170, 0.330, 0.000], [0.330, 0.830, 0.000], [0.670, 0.170, 0.000], [0.830, 0.670, 0.000], [0.129, 0.629, 0.000], [0.371, 0.129, 0.000], [0.629, 0.871, 0.000], [0.871, 0.371, 0.000], [0.000, 0.000, 0.000], [0.500, 0.500, 0.000], [0.000, 0.500, 0.500], [0.058, 0.807, 0.500], [0.193, 0.058, 0.500], [0.307, 0.558, 0.500], [0.442, 0.307, 0.500], [0.500, 0.000, 0.500], [0.558, 0.693, 0.500], [0.693, 0.442, 0.500], [0.807, 0.942, 0.500], [0.942, 0.193, 0.500]]
}

{
  "formula": "MnAlGaCu",
  "functional": "GGA-PBE",
  "state": "optimized geometry",
  "rho_g_cm3": 6.69,
  "crystal_system": "orthorhombic",
  "vol_a3_per_atom": 13.4,
  "lattice": [[3.530, 0.000, 0.000], [0.000, 3.870, 0.000], [0.000, 0.000, 3.911]],
  "species": ["Mn", "Al", "Ga", "Cu"],
  "frac_coords": [[0.000, 0.000, 0.000], [0.500, 0.000, 0.500], [0.500, 0.500, 0.000], [0.000, 0.500, 0.500]]
}

{
  "formula": "NbAlGaCu",
  "functional": "GGA-PBE",
  "state": "optimized geometry",
  "rho_g_cm3": 6.99,
  "crystal_system": "orthorhombic",
  "vol_a3_per_atom": 15.0,
  "lattice": [[3.802, 0.000, 0.000], [0.000, 3.952, 0.000], [0.000, 0.000, 4.003]],
  "species": ["Nb", "Al", "Ga", "Cu"],
  "frac_coords": [[0.000, 0.000, 0.000], [0.500, 0.000, 0.500], [0.500, 0.500, 0.000], [0.000, 0.500, 0.500]]
}

{
  "formula": "Nd3AlGa2Cu6",
  "functional": "GGA-PBE",
  "state": "optimized geometry",
  "rho_g_cm3": 7.02,
  "crystal_system": "trigonal",
  "vol_a3_per_atom": 19.3,
  "lattice": [[5.619, 0.000, 0.000], [-2.810, 4.866, 0.000], [0.000, 0.000, 8.485]],
  "species": ["Nd", "Nd", "Nd", "Al", "Ga", "Ga", "Cu", "Cu", "Cu", "Cu", "Cu", "Cu"],
  "frac_coords": [[0.000, 0.000, 0.000], [0.333, 0.667, 0.623], [0.667, 0.333, 0.377], [0.000, 0.000, 0.500], [0.333, 0.667, 0.028], [0.667, 0.333, 0.972], [0.181, 0.361, 0.279], [0.181, 0.819, 0.279], [0.361, 0.181, 0.721], [0.639, 0.819, 0.279], [0.819, 0.181, 0.721], [0.819, 0.639, 0.721]]
}

The following uncorrected energy values (in eV per atom) correspond, in order, to the records above: -3.8237 -4.4492 -4.4677 -3.8003 -3.3815 -3.5286 -3.1981 -3.4206 -3.4539 -5.1887 -5.5636 -4.2322.